Record 1
{"formula": "LaEu2Cd", "functional": "PBE-GGA", "state": "optimized geometry", "cell": [[5.700, 0.000, 0.000], [2.850, 4.936, 0.000], [2.850, 1.645, 4.654]], "species": ["Eu", "Eu", "Cd", "La"], "fractional_positions": [[0.250, 0.250, 0.250], [0.750, 0.750, 0.750], [0.500, 0.500, 0.500], [0.000, 0.000, 0.000]], "m_tot_mub_per_fu": 15.5, "spacegroup": "Fm-3m (225)", "e_above_lowest_polymorph_mev_per_atom": 104, "formation_enthalpy_0k_ev_per_atom": -0.01}

=====

Record 2
{"formula": "KLaGa2S", "functional": "PBE-GGA", "state": "optimized geometry", "cell": [[-3.816, 3.334, -1.495], [-2.028, -3.730, -3.144], [-3.201, -1.787, 4.185]], "species": ["K", "S", "Ga", "Ga", "La"], "fractional_positions": [[0.000, 0.000, 0.500], [0.000, 0.000, 0.000], [0.000, 0.500, 0.000], [0.500, 0.000, 0.000], [0.500, 0.500, 0.500]], "m_tot_mub_per_fu": 0.0, "spacegroup": "P4/mmm (123)", "formation_energy_uncorrected_mev_per_atom": 105}

=====

Record 3
{"formula": "VBiRhI2", "functional": "PBE-GGA", "state": "optimized geometry", "cell": [[-0.886, 4.923, -1.841], [-2.073, 1.403, 4.750], [4.836, 1.494, 1.669]], "species": ["I", "I", "Rh", "Bi", "V"], "fractional_positions": [[0.000, 0.000, 0.500], [0.500, 0.000, 0.000], [0.000, 0.000, 0.000], [0.000, 0.500, 0.000], [0.500, 0.500, 0.500]], "m_tot_mub_per_fu": 0.1, "spacegroup": "P4/mmm (123)", "formation_energy_uncorrected_mev_per_atom": 989}

=====

Record 4
{"formula": "PrSmDy6", "functional": "PBE-GGA", "state": "optimized geometry", "cell": [[5.690, -0.186, -2.196], [-2.400, 5.603, -0.263], [-0.974, 0.555, 9.318]], "species": ["Pr", "Sm", "Dy", "Dy", "Dy", "Dy", "Dy", "Dy"], "fractional_positions": [[0.500, 0.000, 0.500], [0.000, 0.000, 0.000], [0.361, 0.458, 0.299], [0.841, 0.938, 0.299], [0.159, 0.062, 0.701], [0.639, 0.542, 0.701], [0.701, 0.374, 0.075], [0.299, 0.626, 0.925]], "m_tot_mub_per_fu": 0.0, "spacegroup": "C2/m (12)", "e_above_lowest_polymorph_mev_per_atom": 344, "formation_enthalpy_0k_ev_per_atom": 0.36}

=====

Record 5
{"formula": "NaPb3O6", "functional": "PBE-GGA", "state": "optimized geometry", "cell": [[-3.214, 0.501, 4.825], [0.685, -3.794, 4.359], [2.793, 1.976, 5.165]], "species": ["Na", "Pb", "Pb", "Pb", "O", "O", "O", "O", "O", "O"], "fractional_positions": [[0.866, 0.866, 0.402], [0.352, 0.352, 0.944], [0.648, 0.648, 0.056], [0.143, 0.143, 0.572], [0.953, 0.520, 0.241], [0.285, 0.953, 0.241], [0.520, 0.285, 0.241], [0.051, 0.442, 0.767], [0.740, 0.051, 0.767], [0.442, 0.740, 0.767]], "m_tot_mub_per_fu": 0.0, "spacegroup": "R3 (146)", "formation_energy_uncorrected_mev_per_atom": -1019}

=====

Record 6
{"formula": "LiYHf", "functional": "PBE-GGA", "state": "optimized geometry", "cell": [[0.000, 3.526, 3.526], [3.526, 0.000, 3.526], [3.526, 3.526, 0.000]], "species": ["Y", "Hf", "Li"], "fractional_positions": [[0.750, 0.750, 0.750], [0.500, 0.500, 0.500], [0.250, 0.250, 0.250]], "m_tot_mub_per_fu": 1.0, "spacegroup": "F-43m (216)", "e_above_lowest_polymorph_mev_per_atom": 1096, "formation_enthalpy_0k_ev_per_atom": 1.19}